A relaxed structure of HfCo2SiO. Source: Alexandria via LeMat-Bulk, functional GGA+U.

Properties
Space-group type: No. 123
Volume in Å³ per atom: 16.92
DFT total energy in eV per cell: -27.4
Magnetic moment in μB/cell: 3.61
Fermi-level density of states in states/eV/f.u.: 2.8

a b c (Å): 4.059 4.059 5.136
angles (deg): 90.00 90.00 90.00
Positions (direct):
Hf 0.000 0.000 0.000
Co 0.000 0.500 0.500
Co 0.500 0.000 0.500
Si 0.000 0.000 0.500
O 0.500 0.500 0.000